Compound: KSrAs2
Source: Alexandria
Functional: GGA-PBE
Structure: optimized geometry

The structure in CIF format:
```
data_KSrAs2
_space_group_name_H-M_alt 'I m m 2'
_space_group_IT_number 44
_cell_length_a 4.385
_cell_length_b 4.787
_cell_length_c 13.782
_cell_angle_alpha 90.00
_cell_angle_beta 90.00
_cell_angle_gamma 90.00
loop_
_space_group_symop_operation_xyz
'x,y,z'
'-x,-y,z'
'-x,y,z'
'x,-y,z'
'x+1/2,y+1/2,z+1/2'
'-x+1/2,-y+1/2,z+1/2'
'-x+1/2,y+1/2,z+1/2'
'x+1/2,-y+1/2,z+1/2'
loop_
_atom_site_label
_atom_site_type_symbol
_atom_site_fract_x
_atom_site_fract_y
_atom_site_fract_z
_atom_site_occupancy
K1 K 0.000 0.000 0.000 1
Sr1 Sr 0.000 0.500 0.733 1
As1 As 0.000 0.000 0.594 1
As2 As 0.000 0.500 0.200 1
```

Output
Fermi-level density of states (states/eV/atom): 0.29
Mass density (g/cm³): 3.17
Energy above the lowest structure with this stoichiometry (meV per atom): 147.2